1.
A geometry-optimized K3ZnI5 structure, computed with PBE-GGA.

Final energy = -2.529 eV/atom
Formation energy without anion corrections = -112.0 kJ per mole of atoms
Space-group type = I4/mcm (140)

Cell: 9.797 9.789 10.563 Å, 117.61 117.63 90.00°
Fractional coordinates of all 18 atoms:
1 K 0.844 0.656 0.000
2 K 0.156 0.344 0.000
3 K 0.344 0.844 0.000
4 K 0.250 0.250 0.500
5 K 0.750 0.750 0.500
6 K 0.656 0.156 0.000
7 I 0.297 0.797 0.296
8 I 0.499 0.297 0.296
9 I 0.999 0.499 0.296
10 I 0.203 0.001 0.704
11 I 0.501 0.703 0.704
12 I 0.703 0.203 0.704
13 I 0.797 0.999 0.296
14 I 0.000 0.000 0.000
15 I 0.001 0.501 0.704
16 I 0.500 0.500 0.000
17 Zn 0.250 0.750 0.500
18 Zn 0.750 0.250 0.500

***

2.
A geometry-optimized KZnI2 structure, computed with PBE-GGA.

Offset from the most stable computed form = 286 meV per atom
Final energy = -1.758 eV/atom
Formation energy without anion corrections = -37.6 kJ per mole of atoms
Space-group type = R-3m (166)

Cell: 4.357 4.357 10.384 Å, 77.89 77.89 60.00°
Fractional coordinates of all 4 atoms:
1 I 0.888 0.888 0.336
2 I 0.112 0.112 0.664
3 Zn 0.500 0.500 0.500
4 K 0.000 0.000 0.000

***

3.
A geometry-optimized K2ZnI structure, computed with PBE-GGA.

Offset from the most stable computed form = 0 meV per atom
Final energy = -1.716 eV/atom
Formation energy without anion corrections = -44.5 kJ per mole of atoms
Space-group type = Fm-3m (225)

Cell: 6.164 6.164 6.164 Å, 60.00 60.00 60.00°
Fractional coordinates of all 4 atoms:
1 K 0.250 0.250 0.250
2 K 0.750 0.750 0.750
3 I 0.500 0.500 0.500
4 Zn 0.000 0.000 0.000